First-principles (PBE) data for crystalline K2Li4UO6 at its relaxed geometry, as listed in the Alexandria database.

Values from the calculation:
The value obtained for the size of the total moment is 0.00 μB per atom. The value obtained for the mass density is 3976 kg/m³. Its crystal system is trigonal. The value obtained for the energy relative to the elements, uncorrected is -2.1574 eV per atom.

Cell lengths 6.1159, 6.1159, 5.6729 Å; angles 90.00, 90.00, 120.00 degrees
Last column: nearest neighbours and their distance in Å.
Space group P-3m1 (No. 164)
Inequivalent atoms, fractional coordinates:
K: 0.3333 0.6667 0.0311 x2  3 O 2.58
Li: 0.0000 0.0000 0.0000 x1  6 O 2.41
Li: 0.0000 0.5000 0.5000 x3  4 O 2.13
U: 0.0000 0.0000 0.5000 x1  6 O 2.09
O: 0.1636 0.3273 0.7050 x6  1 U 2.09, 2 Li 2.13